No. 1
SmSnIr: relaxed, PBE.

Cell and atoms, written as extended XYZ:
```
3
Lattice="0.000 3.343 3.343 3.343 0.000 3.343 3.343 3.343 0.000" Properties=species:S:1:pos:R:3 pbc="T T T"
Sm 0.000 0.000 0.000
Sn 3.343 3.343 3.343
Ir 5.014 5.014 5.014
```

Properties
Space-group type = F-43m, No. 216

No. 2
YIn2Cu: relaxed, PBE.

Cell and atoms, written as extended XYZ:
```
4
Lattice="-2.039 2.335 4.846 2.039 -2.335 4.846 2.039 2.335 -4.846" Properties=species:S:1:pos:R:3 pbc="T T T"
Y 0.000 0.000 0.000
In 0.000 0.000 4.298
In 0.000 2.335 2.187
Cu 2.039 0.000 2.385
```

Properties
Space-group type = Imm2, No. 44

No. 3
Al2Cl: relaxed, PBE.

Cell and atoms, written as extended XYZ:
```
6
Lattice="0.000 4.034 4.034 4.034 0.000 4.034 4.034 4.034 0.000" Properties=species:S:1:pos:R:3 pbc="T T T"
Al 0.000 0.000 0.000
Al 2.017 2.017 0.000
Al 2.017 0.000 2.017
Al 0.000 2.017 2.017
Cl 3.025 3.025 3.025
Cl 5.042 5.042 5.042
```

Properties
Raw formation energy = 0.11 eV per atom
Space-group type = Fd-3m, No. 227

No. 4
Nd2CuSn: relaxed, PBE.

Cell and atoms, written as extended XYZ:
```
4
Lattice="-2.341 2.398 5.102 2.341 -2.398 5.102 2.341 2.398 -5.102" Properties=species:S:1:pos:R:3 pbc="T T T"
Nd 0.000 0.000 1.746
Nd 0.000 0.000 8.458
Cu 2.341 0.000 0.000
Sn 0.000 0.000 5.102
```

Properties
Space-group type = Immm, No. 71

No. 5
ReHg3B: relaxed, PBE.

Cell and atoms, written as extended XYZ:
```
5
Lattice="4.592 0.000 0.000 0.000 4.592 0.000 0.000 0.000 4.592" Properties=species:S:1:pos:R:3 pbc="T T T"
Re 0.000 0.000 0.000
Hg 0.000 2.296 2.296
Hg 2.296 0.000 2.296
Hg 2.296 2.296 0.000
B 2.296 2.296 2.296
```

Properties
Space-group type = Pm-3m, No. 221

No. 6
Sm2DyZn2: relaxed, PBE.

Cell and atoms, written as extended XYZ:
```
10
Lattice="4.528 0.000 0.000 0.000 4.412 0.000 -2.240 0.000 13.181" Properties=species:S:1:pos:R:3 pbc="T T T"
Sm -0.005 1.103 1.461
Sm 0.012 3.309 6.945
Sm 2.276 1.103 6.236
Sm 2.293 3.309 11.720
Dy 0.022 1.103 9.599
Dy 2.266 3.309 3.582
Zn 0.010 1.103 4.399
Zn 0.018 1.103 12.515
Zn 2.270 3.309 0.666
Zn 2.278 3.309 8.782
```

Properties
Space-group type = P2_1/m, No. 11

Number 1: energy -19.40 eV for the cell shown, total magnetization 0.00 μB per atom. Number 2: energy -16.67 eV for the cell shown, total magnetization 0.00 μB per atom. Number 3: energy -18.02 eV for the cell shown, total magnetization 0.00 μB per atom. Number 4: energy -18.08 eV for the cell shown, total magnetization 0.00 μB per atom. Number 5: energy -12.51 eV for the cell shown, total magnetization 0.69 μB per atom. Number 6: energy -34.65 eV for the cell shown, total magnetization 0.00 μB per atom.